1.
{"formula": "Ta2PRu", "functional": "PBE-GGA", "state": "optimized geometry", "cell": [[3.236, 0.000, 0.000], [0.000, 3.236, 0.000], [0.000, 0.000, 6.147]], "species": ["Ta", "Ta", "P", "Ru"], "frac_coords": [[0.000, 0.000, 0.000], [0.500, 0.500, 0.313], [0.000, 0.000, 0.490], [0.500, 0.500, 0.789]], "formation_enthalpy_0k_ev_per_atom": -0.34, "sg": "P4mm", "n_ef_per_ev_fu": 1.76}



2.
{"formula": "Ta2PRu", "functional": "PBE-GGA", "state": "optimized geometry", "cell": [[2.843, -3.566, 0.000], [2.843, 3.566, 0.000], [-0.447, 0.000, 3.100]], "species": ["Ta", "Ta", "P", "Ru"], "frac_coords": [[0.000, 0.500, 0.000], [0.500, 0.000, 0.000], [0.000, 0.000, 0.500], [0.500, 0.500, 0.500]], "formation_enthalpy_0k_ev_per_atom": -0.28, "sg": "C2/m", "n_ef_per_ev_fu": 2.33}



3.
{"formula": "Ta2PRu", "functional": "PBE-GGA", "state": "optimized geometry", "cell": [[3.073, 0.000, 0.000], [0.000, 3.073, 0.000], [0.000, 0.000, 6.549]], "species": ["Ta", "Ta", "P", "Ru"], "frac_coords": [[0.000, 0.000, 0.235], [0.000, 0.000, 0.765], [0.500, 0.500, 0.000], [0.500, 0.500, 0.500]], "formation_enthalpy_0k_ev_per_atom": -0.30, "sg": "P4/mmm", "n_ef_per_ev_fu": 4.51}



4.
{"formula": "TaPRu", "functional": "PBE-GGA", "state": "optimized geometry", "cell": [[0.000, 2.881, 2.881], [2.881, 0.000, 2.881], [2.881, 2.881, 0.000]], "species": ["Ta", "P", "Ru"], "frac_coords": [[0.000, 0.000, 0.000], [0.250, 0.250, 0.250], [0.500, 0.500, 0.500]], "formation_enthalpy_0k_ev_per_atom": -0.23, "sg": "F-43m", "n_ef_per_ev_fu": 2.55}